# 1
# AlReO2 (GGA-PBE, optimized geometry)
# spin magnetization = 0.66 μB per formula unit
# uncorrected formation energy = -0.960 eV per atom
data_AlReO2
_chemical_formula_sum 'Al4 Re4 O8'
_space_group_name_H-M_alt 'I -4 2 d'
_space_group_IT_number 122
_space_group_name_Hall 'I -4 2bw'
_cell_length_a 4.6547
_cell_length_b 4.6547
_cell_length_c 8.5570
_cell_angle_alpha 90.00
_cell_angle_beta 90.00
_cell_angle_gamma 90.00
loop_
_atom_site_label
_atom_site_type_symbol
_atom_site_fract_x
_atom_site_fract_y
_atom_site_fract_z
Al1 Al 0.0000 0.0000 0.0000
Re1 Re 0.0000 0.0000 0.5000
O1 O 0.1717 0.2500 0.1250

# 2
# La7PmGa4 (GGA-PBE, optimized geometry)
# spin magnetization = 0.21 μB per formula unit
# formation enthalpy at 0 K = -246 meV per atom
data_La7PmGa4
_chemical_formula_sum 'La14 Pm2 Ga8'
_space_group_name_H-M_alt 'C 1 2/m 1'
_space_group_IT_number 12
_space_group_name_Hall '-C 2y'
_cell_length_a 13.9443
_cell_length_b 5.7861
_cell_length_c 10.9089
_cell_angle_alpha 90.00
_cell_angle_beta 124.30
_cell_angle_gamma 90.00
loop_
_atom_site_label
_atom_site_type_symbol
_atom_site_fract_x
_atom_site_fract_y
_atom_site_fract_z
La1 La 0.0000 0.0000 0.0000
La2 La 0.0670 0.5000 0.3804
La3 La 0.1997 0.0000 0.6364
La4 La 0.2031 0.5000 0.8819
Pm1 Pm 0.0000 0.5000 0.0000
Ga1 Ga 0.0520 0.0000 0.7587
Ga2 Ga 0.1792 0.0000 0.3297